Record 1
# PBE-GGA CrTc2Ir, optimized geometry
data_CrTc2Ir
_symmetry_space_group_name_H-M 'P 4/m m m'
_symmetry_Int_Tables_number 123
_symmetry_space_group_name_Hall '-P 4 2'
_cell_length_a 2.704
_cell_length_b 2.704
_cell_length_c 7.600
_cell_angle_alpha 90.00
_cell_angle_beta 90.00
_cell_angle_gamma 90.00
loop_
_atom_site_label
_atom_site_type_symbol
_atom_site_fract_x
_atom_site_fract_y
_atom_site_fract_z
Cr1 Cr 0.000 0.000 0.000
Tc1 Tc 0.500 0.500 0.237
Ir1 Ir 0.000 0.000 0.500
# Volume (Å³/cell): 56
# Total DFT energy (no corrections) (eV per cell): -39.2
# Excess energy over the best structure of this formula in the dataset (eV/f.u.): 0.25

=====

Record 2
# PBE-GGA Sm6AgAu, optimized geometry
data_Sm6AgAu
_symmetry_space_group_name_H-M 'I 4/m m m'
_symmetry_Int_Tables_number 139
_symmetry_space_group_name_Hall '-I 4 2'
_cell_length_a 5.208
_cell_length_b 5.208
_cell_length_c 17.473
_cell_angle_alpha 90.00
_cell_angle_beta 90.00
_cell_angle_gamma 90.00
loop_
_atom_site_label
_atom_site_type_symbol
_atom_site_fract_x
_atom_site_fract_y
_atom_site_fract_z
Sm1 Sm 0.000 0.000 0.249
Sm2 Sm 0.000 0.500 0.105
Ag1 Ag 0.000 0.000 0.000
Au1 Au 0.000 0.000 0.500
# Volume (Å³/cell): 474
# Total DFT energy (no corrections) (eV per cell): -72.7

=====

Record 3
# PBE-GGA BaHgIr, optimized geometry
data_BaHgIr
_symmetry_space_group_name_H-M 'C 1 2/m 1'
_symmetry_Int_Tables_number 12
_cell_length_a 14.214
_cell_length_b 4.501
_cell_length_c 5.796
_cell_angle_alpha 90.00
_cell_angle_beta 103.48
_cell_angle_gamma 90.00
loop_
_symmetry_equiv_pos_as_xyz
'x,y,z'
'-x,-y,-z'
'-x,y,-z'
'x,-y,z'
'x+1/2,y+1/2,z'
'-x+1/2,-y+1/2,-z'
'-x+1/2,y+1/2,-z'
'x+1/2,-y+1/2,z'
loop_
_atom_site_label
_atom_site_type_symbol
_atom_site_fract_x
_atom_site_fract_y
_atom_site_fract_z
Ba1 Ba 0.120 0.000 0.340
Hg1 Hg 0.083 0.500 0.799
Ir1 Ir 0.224 0.000 0.930
# Volume (Å³/cell): 361
# Total DFT energy (no corrections) (eV per cell): -47.1

=====

Record 4
# PBE-GGA AcSm2Dy7, optimized geometry
data_AcSm2Dy7
_symmetry_space_group_name_H-M 'I m m m'
_symmetry_Int_Tables_number 71
_symmetry_space_group_name_Hall '-I 2 2'
_cell_length_a 4.768
_cell_length_b 9.629
_cell_length_c 16.263
_cell_angle_alpha 90.00
_cell_angle_beta 90.00
_cell_angle_gamma 90.00
loop_
_atom_site_label
_atom_site_type_symbol
_atom_site_fract_x
_atom_site_fract_y
_atom_site_fract_z
Ac1 Ac 0.000 0.000 0.000
Sm1 Sm 0.000 0.500 0.319
Dy1 Dy 0.000 0.000 0.333
Dy2 Dy 0.000 0.250 0.173
Dy3 Dy 0.000 0.500 0.000
# Volume (Å³/cell): 747
# Total DFT energy (no corrections) (eV per cell): -84.5

=====

Record 5
# PBE-GGA KTl9In3, optimized geometry
data_KTl9In3
_symmetry_space_group_name_H-M 'C 1 2/m 1'
_symmetry_Int_Tables_number 12
_cell_length_a 6.347
_cell_length_b 16.088
_cell_length_c 8.591
_cell_angle_alpha 90.00
_cell_angle_beta 110.40
_cell_angle_gamma 90.00
loop_
_symmetry_equiv_pos_as_xyz
'x,y,z'
'-x,-y,-z'
'-x,y,-z'
'x,-y,z'
'x+1/2,y+1/2,z'
'-x+1/2,-y+1/2,-z'
'-x+1/2,y+1/2,-z'
'x+1/2,-y+1/2,z'
loop_
_atom_site_label
_atom_site_type_symbol
_atom_site_fract_x
_atom_site_fract_y
_atom_site_fract_z
K1 K 0.000 0.000 0.000
Tl1 Tl 0.000 0.000 0.500
Tl2 Tl 0.101 0.393 0.210
Tl3 Tl 0.177 0.179 0.353
In1 In 0.000 0.500 0.500
In2 In 0.250 0.250 0.000
# Volume (Å³/cell): 822
# Total DFT energy (no corrections) (eV per cell): -61.5

=====

Record 6
# PBE-GGA K2HBr3, optimized geometry
data_K2HBr3
_symmetry_space_group_name_H-M 'C 1 2/c 1'
_symmetry_Int_Tables_number 15
_cell_length_a 12.159
_cell_length_b 8.557
_cell_length_c 8.780
_cell_angle_alpha 90.00
_cell_angle_beta 119.15
_cell_angle_gamma 90.00
loop_
_symmetry_equiv_pos_as_xyz
'x,y,z'
'-x,-y,-z'
'-x,y,-z+1/2'
'x,-y,z+1/2'
'x+1/2,y+1/2,z'
'-x+1/2,-y+1/2,-z'
'-x+1/2,y+1/2,-z+1/2'
'x+1/2,-y+1/2,z+1/2'
loop_
_atom_site_label
_atom_site_type_symbol
_atom_site_fract_x
_atom_site_fract_y
_atom_site_fract_z
K1 K 0.150 0.193 0.147
H1 H 0.000 0.479 0.250
Br1 Br 0.000 0.062 0.750
Br2 Br 0.149 0.471 0.425
# Volume (Å³/cell): 798
# Total DFT energy (no corrections) (eV per cell): -71.6

=====

Record 7
# PBE-GGA Mn2InTe, optimized geometry
data_Mn2InTe
_symmetry_space_group_name_H-M 'C 1 2/m 1'
_symmetry_Int_Tables_number 12
_cell_length_a 6.075
_cell_length_b 7.495
_cell_length_c 3.485
_cell_angle_alpha 90.00
_cell_angle_beta 94.34
_cell_angle_gamma 90.00
loop_
_symmetry_equiv_pos_as_xyz
'x,y,z'
'-x,-y,-z'
'-x,y,-z'
'x,-y,z'
'x+1/2,y+1/2,z'
'-x+1/2,-y+1/2,-z'
'-x+1/2,y+1/2,-z'
'x+1/2,-y+1/2,z'
loop_
_atom_site_label
_atom_site_type_symbol
_atom_site_fract_x
_atom_site_fract_y
_atom_site_fract_z
Mn1 Mn 0.250 0.250 0.000
In1 In 0.000 0.000 0.500
Te1 Te 0.000 0.500 0.500
# Volume (Å³/cell): 158
# ΔE_f (raw) (eV per atom): 0.348
# Total DFT energy (no corrections) (eV per cell): -45.7
# Excess energy over the best structure of this formula in the dataset (eV/f.u.): 0.66

=====

Record 8
# PBE-GGA MgTaCu, optimized geometry
data_MgTaCu
_symmetry_space_group_name_H-M 'P m m n'
_symmetry_Int_Tables_number 59
_cell_length_a 2.971
_cell_length_b 3.525
_cell_length_c 9.953
_cell_angle_alpha 90.00
_cell_angle_beta 90.00
_cell_angle_gamma 90.00
loop_
_symmetry_equiv_pos_as_xyz
'x,y,z'
'-x,-y,-z'
'-x+1/2,-y+1/2,z'
'x+1/2,y+1/2,-z'
'x+1/2,-y,-z'
'-x+1/2,y,z'
'-x,y+1/2,-z'
'x,-y+1/2,z'
loop_
_atom_site_label
_atom_site_type_symbol
_atom_site_fract_x
_atom_site_fract_y
_atom_site_fract_z
Mg1 Mg 0.250 0.250 0.111
Ta1 Ta 0.250 0.250 0.416
Cu1 Cu 0.250 0.250 0.733
# Volume (Å³/cell): 104
# Total DFT energy (no corrections) (eV per cell): -34.4
# Excess energy over the best structure of this formula in the dataset (eV/f.u.): 0.10